Entry from the Alexandria database: a relaxed structure of LaAuS2 (PBE).

Cell lengths 4.509, 5.514, 9.282 Å; angles 89.99, 90.00, 90.08 degrees
Fractional coordinates of all 8 atoms:
S  0.983  0.858  0.610
S  0.485  0.341  0.328
S  0.483  0.358  0.930
S  0.985  0.841  0.212
Au  0.234  0.107  0.771
Au  0.734  0.607  0.770
La  0.484  0.841  0.410
La  0.984  0.341  0.130

## Properties
E = -43.88 eV per cell
Relative energy among the computed polymorphs = 0.028 eV per atom
E_form (uncorrected) = -132.22 kJ per mole of atoms
D(E_F) = 0.0 states/eV/cell
Symmetry = Pc, No. 7
V = 230.8 Å³ per cell